Entry 1:
ErGaNi3 (PBE-GGA, relaxed); density = 8.3 g cm⁻³; E_form = -100 meV/atom; SG = No. 63
1.0
-3.7151 -2.2657 1.2808
4.6376 -5.1930 4.2654
-4.2389 6.9784 0.0491
Er Ga Ni
2 2 6
direct
0.7500 0.5867 0.4133 Er
0.2500 0.4133 0.5867 Er
0.7500 0.8615 0.1385 Ga
0.2500 0.1385 0.8615 Ga
0.7500 0.4680 0.0064 Ni
0.7500 0.9936 0.5320 Ni
0.2500 0.0064 0.4680 Ni
0.2500 0.5320 0.9936 Ni
0.0000 0.0000 0.0000 Ni
0.5000 0.0000 0.0000 Ni


Entry 2:
ErGa4Ni8 (PBE-GGA, relaxed); density = 8.9 g cm⁻³; E_form = -354 meV/atom; SG = No. 139
1.0
5.0292 0.0000 0.0000
2.5146 5.8267 0.0000
2.5146 0.0000 5.8267
Er Ga Ni
1 4 8
direct
0.0000 0.0000 0.0000 Er
0.0000 0.0000 0.5000 Ga
0.5000 0.0000 0.5000 Ga
0.0000 0.5000 0.0000 Ga
0.5000 0.5000 0.0000 Ga
0.0000 0.3514 0.6486 Ni
0.0000 0.6486 0.3514 Ni
0.3514 0.6486 0.6486 Ni
0.6486 0.3514 0.3514 Ni
0.5000 0.7768 0.2232 Ni
0.5000 0.2232 0.7768 Ni
0.2768 0.2232 0.2232 Ni
0.7232 0.7768 0.7768 Ni


Entry 3:
Er3Ga2Ni9 (PBE-GGA, relaxed); density = 9.3 g cm⁻³; E_form = -401 meV/atom; SG = No. 71
1.0
3.9781 0.0000 0.0000
1.9890 7.4263 0.3975
1.9890 2.0705 7.1429
Er Ga Ni
3 2 9
direct
0.0000 0.0000 0.0000 Er
0.6979 0.3021 0.3021 Er
0.3021 0.6979 0.6979 Er
0.5000 0.2874 0.7126 Ga
0.5000 0.7126 0.2874 Ga
0.0000 0.5000 0.5000 Ni
0.6797 0.9676 0.6730 Ni
0.3203 0.0324 0.3270 Ni
0.6797 0.6730 0.9676 Ni
0.3203 0.3270 0.0324 Ni
0.8806 0.8430 0.3959 Ni
0.1194 0.1570 0.6041 Ni
0.8806 0.3959 0.8430 Ni
0.1194 0.6041 0.1570 Ni


Entry 4:
ErGa4Ni2Os (PBE-GGA, relaxed); density = 9.8 g cm⁻³; E_form = -334 meV/atom; SG = No. 166
1.0
-3.4120 1.9565 -1.1986
-3.6628 -1.8264 0.3931
-3.2058 3.4643 7.7284
Er Ga Ni Os
1 4 2 1
direct
0.0000 0.0000 0.0000 Er
0.4004 0.4004 0.7989 Ga
0.8707 0.8707 0.3880 Ga
0.1293 0.1293 0.6120 Ga
0.5996 0.5996 0.2011 Ga
0.7665 0.7665 0.7006 Ni
0.2335 0.2335 0.2994 Ni
0.5000 0.5000 0.5000 Os


Number 1: total DFT energy (no corrections) -5.087 eV/atom. Number 2: total DFT energy (no corrections) -5.194 eV/atom. Number 3: total DFT energy (no corrections) -5.527 eV/atom. Number 4: total DFT energy (no corrections) -5.267 eV/atom.